(1)
# W3C4

W3C4 after structural relaxation (PBE-GGA, Alexandria).

Values from the calculation:
Excess energy over the best structure of this formula in the dataset = 96.8 meV per atom
Density of states at the Fermi level = 3.85 states/eV/f.u.
Formation enthalpy at 0 K = 15.789 kcal/mol of atoms

abc: 8.0809 8.0809 8.0809
angles: 158.43 158.43 30.69
Atoms (fractional coordinates):
W 0.6871 0.6871 0.0000
W 0.0000 0.0000 0.0000
W 0.3129 0.3129 0.0000
C 0.4536 0.4536 0.0000
C 0.8378 0.8378 0.0000
C 0.1622 0.1622 0.0000
C 0.5464 0.5464 0.0000

***

(2)
# WC

WC after structural relaxation (PBE-GGA, Alexandria).

Values from the calculation:
Excess energy over the best structure of this formula in the dataset = 899.9 meV per atom
Density of states at the Fermi level = 0.42 states/eV/f.u.
Formation enthalpy at 0 K = 17.807 kcal/mol of atoms

abc: 2.7349 2.7349 2.7349
angles: 90.00 90.00 90.00
Atoms (fractional coordinates):
C 0.5000 0.5000 0.5000
W 0.0000 0.0000 0.0000

***

(3)
# W4C3

W4C3 after structural relaxation (PBE-GGA, Alexandria).

Values from the calculation:
Excess energy over the best structure of this formula in the dataset = 281.3 meV per atom
Density of states at the Fermi level = 2.80 states/eV/f.u.
Formation enthalpy at 0 K = 11.888 kcal/mol of atoms

abc: 4.5287 4.5287 4.5287
angles: 90.00 90.00 90.00
Atoms (fractional coordinates):
W 0.2217 0.7783 0.2217
W 0.2217 0.2217 0.7783
W 0.7783 0.7783 0.7783
W 0.7783 0.2217 0.2217
C 0.5000 0.0000 0.5000
C 0.0000 0.5000 0.5000
C 0.5000 0.5000 0.0000

***

(4)
# WC3

WC3 after structural relaxation (PBE-GGA, Alexandria).

Values from the calculation:
Excess energy over the best structure of this formula in the dataset = 1161.4 meV per atom
Density of states at the Fermi level = 1.67 states/eV/f.u.
Formation enthalpy at 0 K = 48.962 kcal/mol of atoms

abc: 4.0834 4.0834 4.0834
angles: 90.00 90.00 90.00
Atoms (fractional coordinates):
W 0.5000 0.5000 0.5000
W 0.0000 0.0000 0.0000
C 0.0000 0.7500 0.5000
C 0.0000 0.2500 0.5000
C 0.7500 0.5000 0.0000
C 0.5000 0.0000 0.2500
C 0.5000 0.0000 0.7500
C 0.2500 0.5000 0.0000

***

(5)
# WC3

WC3 after structural relaxation (PBE-GGA, Alexandria).

Values from the calculation:
Excess energy over the best structure of this formula in the dataset = 654.9 meV per atom
Density of states at the Fermi level = 1.29 states/eV/f.u.
Formation enthalpy at 0 K = 37.283 kcal/mol of atoms

abc: 4.4750 4.4750 4.2954
angles: 90.00 90.00 120.00
Atoms (fractional coordinates):
C 0.2181 0.7819 0.7500
C 0.7819 0.2181 0.2500
C 0.2181 0.4363 0.7500
C 0.7819 0.5637 0.2500
C 0.5637 0.7819 0.7500
C 0.4363 0.2181 0.2500
W 0.3333 0.6667 0.2500
W 0.6667 0.3333 0.7500

***

(6)
# WC3

WC3 after structural relaxation (PBE-GGA, Alexandria).

Values from the calculation:
Excess energy over the best structure of this formula in the dataset = 1300.3 meV per atom
Density of states at the Fermi level = 1.28 states/eV/f.u.
Formation enthalpy at 0 K = 52.167 kcal/mol of atoms

abc: 3.6159 3.6159 2.8180
angles: 90.00 90.00 107.42
Atoms (fractional coordinates):
C 0.5000 0.5000 0.0000
C 0.0000 0.5000 0.5000
C 0.5000 0.0000 0.5000
W 0.0000 0.0000 0.0000

***

(7)
# W3C4

W3C4 after structural relaxation (PBE-GGA, Alexandria).

Values from the calculation:
Excess energy over the best structure of this formula in the dataset = 559.0 meV per atom
Density of states at the Fermi level = 4.75 states/eV/f.u.
Formation enthalpy at 0 K = 26.448 kcal/mol of atoms

abc: 5.8163 5.8163 2.7563
angles: 90.00 90.00 120.00
Atoms (fractional coordinates):
W 0.5000 0.5000 0.0000
W 0.0000 0.5000 0.0000
W 0.5000 0.0000 0.0000
C 0.6667 0.3333 0.5000
C 0.0000 0.0000 0.7501
C 0.3333 0.6667 0.5000
C 0.0000 0.0000 0.2499

***

(8)
# W2C3

W2C3 after structural relaxation (PBE-GGA, Alexandria).

Values from the calculation:
Excess energy over the best structure of this formula in the dataset = 59.1 meV per atom
Density of states at the Fermi level = 0.01 states/eV/f.u.
Formation enthalpy at 0 K = 21.823 kcal/mol of atoms

abc: 8.5721 8.5721 8.5721
angles: 20.77 20.77 20.77
Atoms (fractional coordinates):
C 0.0000 0.0000 0.0000
C 0.7608 0.7608 0.7608
C 0.2392 0.2392 0.2392
W 0.6116 0.6116 0.6116
W 0.3884 0.3884 0.3884

***

Please write out number 6 again, unchanged.
# WC3

WC3 after structural relaxation (PBE-GGA, Alexandria).

Values from the calculation:
Excess energy over the best structure of this formula in the dataset = 1300.3 meV per atom
Density of states at the Fermi level = 1.28 states/eV/f.u.
Formation enthalpy at 0 K = 52.167 kcal/mol of atoms

abc: 3.6159 3.6159 2.8180
angles: 90.00 90.00 107.42
Atoms (fractional coordinates):
C 0.5000 0.5000 0.0000
C 0.0000 0.5000 0.5000
C 0.5000 0.0000 0.5000
W 0.0000 0.0000 0.0000

***

Q: The lowest excess energy over the best structure of this formula in the dataset belongs to which entry?
A: W2C3